(1)
The following is a DFT calculation (PBE) of crystalline Li2SbH2 at its relaxed geometry.

a = 5.759 Å, b = 5.759 Å, c = 5.759 Å
α = 145.31°, β = 145.31°, γ = 49.87°
Sites, in units of the cell vectors:
Li  0.190  0.190  0.000
Li  0.810  0.810  0.000
Sb  0.500  0.500  0.000
H  0.250  0.750  0.500
H  0.750  0.250  0.500

## Properties
Space-group type: No. 139
E above lowest polymorph, kJ/mol of formula units: 98

(2)
The following is a DFT calculation (PBE) of crystalline Tb5Sn2Ge2 at its relaxed geometry.

a = 8.631 Å, b = 8.631 Å, c = 7.937 Å
α = 90.00°, β = 90.00°, γ = 54.93°
Sites, in units of the cell vectors:
Tb  0.000  0.000  0.000
Tb  0.042  0.699  0.670
Tb  0.199  0.542  0.170
Tb  0.301  0.958  0.670
Tb  0.458  0.801  0.170
Tb  0.500  0.500  0.500
Tb  0.542  0.199  0.830
Tb  0.699  0.042  0.330
Tb  0.801  0.458  0.830
Tb  0.958  0.301  0.330
Sn  0.210  0.210  0.000
Sn  0.290  0.290  0.500
Sn  0.710  0.710  0.500
Sn  0.790  0.790  0.000
Ge  0.132  0.868  0.367
Ge  0.368  0.632  0.867
Ge  0.632  0.368  0.133
Ge  0.868  0.132  0.633

## Properties
Space-group type: No. 64
ΔH_f (0 K), eV/atom: -0.79

(3)
The following is a DFT calculation (PBE) of crystalline AcTlHg2F8 at its relaxed geometry.

a = 5.548 Å, b = 5.548 Å, c = 9.568 Å
α = 90.00°, β = 90.00°, γ = 120.00°
Sites, in units of the cell vectors:
Ac  0.000  0.000  0.000
Tl  0.000  0.000  0.500
Hg  0.333  0.667  0.304
Hg  0.667  0.333  0.696
F  0.014  0.331  0.168
F  0.317  0.986  0.168
F  0.331  0.317  0.832
F  0.333  0.667  0.525
F  0.667  0.333  0.475
F  0.669  0.683  0.168
F  0.683  0.014  0.832
F  0.986  0.669  0.832

## Properties
Space-group type: No. 147
Raw formation energy, eV/f.u.: -27.0

(4)
The following is a DFT calculation (PBE) of crystalline SrCaRe2 at its relaxed geometry.

a = 5.904 Å, b = 5.904 Å, c = 2.813 Å
α = 94.68°, β = 94.68°, γ = 123.16°
Sites, in units of the cell vectors:
Sr  0.000  0.000  0.000
Ca  0.500  0.500  0.000
Re  0.000  0.500  0.500
Re  0.500  0.000  0.500

## Properties
Space-group type: No. 12
E above lowest polymorph, kJ/mol of formula units: 284
ΔH_f (0 K), eV/atom: 1.06

(5)
The following is a DFT calculation (PBE) of crystalline Ba2CdOs at its relaxed geometry.

a = 8.415 Å, b = 8.415 Å, c = 8.415 Å
α = 95.86°, β = 95.86°, γ = 142.74°
Sites, in units of the cell vectors:
Ba  0.375  0.202  0.327
Ba  0.798  0.125  0.173
Ba  0.875  0.048  0.673
Ba  0.952  0.625  0.827
Cd  0.250  0.750  0.500
Cd  0.500  0.500  0.000
Os  0.000  0.000  0.000
Os  0.750  0.250  0.500

## Properties
Space-group type: No. 122
ΔH_f (0 K), eV/atom: 0.45

(6)
The following is a DFT calculation (PBE) of crystalline BeIn4P at its relaxed geometry.

a = 6.010 Å, b = 6.010 Å, c = 6.010 Å
α = 60.00°, β = 60.00°, γ = 60.00°
Sites, in units of the cell vectors:
Be  0.000  0.000  0.000
In  0.125  0.625  0.625
In  0.625  0.125  0.625
In  0.625  0.625  0.125
In  0.625  0.625  0.625
P  0.250  0.250  0.250

## Properties
Space-group type: No. 216
ΔH_f (0 K), eV/atom: 0.82

(7)
The following is a DFT calculation (PBE) of crystalline Mg2MnAs at its relaxed geometry.

a = 3.402 Å, b = 3.761 Å, c = 5.637 Å
α = 90.00°, β = 90.09°, γ = 90.00°
Sites, in units of the cell vectors:
Mg  0.000  0.000  0.249
Mg  0.000  0.000  0.751
Mn  0.500  0.500  0.000
As  0.500  0.500  0.500

## Properties
Space-group type: No. 10
ΔH_f (0 K), eV/atom: -0.01

(8)
The following is a DFT calculation (PBE) of crystalline AsP2Pb6I3 at its relaxed geometry.

a = 7.602 Å, b = 7.602 Å, c = 8.244 Å
α = 98.84°, β = 98.84°, γ = 119.95°
Sites, in units of the cell vectors:
As  0.000  0.000  0.000
P  0.333  0.667  0.000
P  0.667  0.333  0.000
Pb  0.065  0.405  0.194
Pb  0.276  0.276  0.806
Pb  0.405  0.065  0.194
Pb  0.595  0.935  0.806
Pb  0.724  0.724  0.194
Pb  0.935  0.595  0.806
I  0.165  0.835  0.500
I  0.500  0.500  0.500
I  0.835  0.165  0.500

## Properties
Space-group type: No. 12
Raw formation energy, eV/f.u.: -3.1

(9)
The following is a DFT calculation (PBE) of crystalline CsSrCd2Au at its relaxed geometry.

a = 5.602 Å, b = 5.602 Å, c = 5.897 Å
α = 90.00°, β = 90.00°, γ = 90.00°
Sites, in units of the cell vectors:
Cs  0.000  0.000  0.000
Sr  0.500  0.500  0.000
Cd  0.000  0.500  0.500
Cd  0.500  0.000  0.500
Au  0.500  0.500  0.500

## Properties
Space-group type: No. 123
ΔH_f (0 K), eV/atom: -0.14

(10)
The following is a DFT calculation (PBE) of crystalline RbVGeCl6 at its relaxed geometry.

a = 6.658 Å, b = 6.658 Å, c = 7.245 Å
α = 90.00°, β = 90.00°, γ = 120.00°
Sites, in units of the cell vectors:
Rb  0.000  0.000  0.000
V  0.667  0.333  0.500
Ge  0.333  0.667  0.500
Cl  0.384  0.028  0.691
Cl  0.384  0.356  0.309
Cl  0.644  0.028  0.309
Cl  0.644  0.616  0.691
Cl  0.972  0.356  0.691
Cl  0.972  0.616  0.309

## Properties
Space-group type: No. 149
Raw formation energy, eV/f.u.: -11.4

(11)
The following is a DFT calculation (PBE) of crystalline FeSiN3 at its relaxed geometry.

a = 3.655 Å, b = 3.655 Å, c = 3.655 Å
α = 90.00°, β = 90.00°, γ = 90.00°
Sites, in units of the cell vectors:
Fe  0.000  0.000  0.000
Si  0.500  0.500  0.500
N  0.000  0.000  0.500
N  0.000  0.500  0.000
N  0.500  0.000  0.000

## Properties
Space-group type: No. 221
Raw formation energy, eV/f.u.: 6.9

(12)
The following is a DFT calculation (PBE) of crystalline Na4Hg15Sb at its relaxed geometry.

a = 4.513 Å, b = 4.513 Å, c = 25.288 Å
α = 90.00°, β = 90.00°, γ = 90.00°
Sites, in units of the cell vectors:
Na  0.000  0.000  0.100
Na  0.000  0.000  0.300
Na  0.000  0.000  0.700
Na  0.000  0.000  0.900
Hg  0.000  0.500  0.000
Hg  0.000  0.500  0.198
Hg  0.000  0.500  0.396
Hg  0.000  0.500  0.604
Hg  0.000  0.500  0.802
Hg  0.500  0.000  0.000
Hg  0.500  0.000  0.198
Hg  0.500  0.000  0.396
Hg  0.500  0.000  0.604
Hg  0.500  0.000  0.802
Hg  0.500  0.500  0.095
Hg  0.500  0.500  0.296
Hg  0.500  0.500  0.500
Hg  0.500  0.500  0.704
Hg  0.500  0.500  0.905
Sb  0.000  0.000  0.500

## Properties
Space-group type: No. 123
Raw formation energy, eV/f.u.: -2.4

(13)
The following is a DFT calculation (PBE) of crystalline Mg2CrFe at its relaxed geometry.

a = 5.232 Å, b = 5.232 Å, c = 2.616 Å
α = 99.04°, β = 99.04°, γ = 118.20°
Sites, in units of the cell vectors:
Mg  0.000  0.500  0.000
Mg  0.500  0.000  0.000
Cr  0.000  0.000  0.500
Fe  0.500  0.500  0.500

## Properties
Space-group type: No. 12
E above lowest polymorph, kJ/mol of formula units: 117
ΔH_f (0 K), eV/atom: 0.50

(14)
The following is a DFT calculation (PBE) of crystalline VAsRu2 at its relaxed geometry.

a = 6.576 Å, b = 6.576 Å, c = 6.576 Å
α = 130.70°, β = 130.70°, γ = 72.28°
Sites, in units of the cell vectors:
V  0.000  0.000  0.000
V  0.750  0.250  0.500
As  0.250  0.750  0.500
As  0.500  0.500  0.000
Ru  0.117  0.625  0.992
Ru  0.375  0.367  0.492
Ru  0.633  0.125  0.008
Ru  0.875  0.883  0.508

## Properties
Space-group type: No. 122
ΔH_f (0 K), eV/atom: 0.50

(15)
The following is a DFT calculation (PBE) of crystalline Th2MgNi12B3 at its relaxed geometry.

a = 7.128 Å, b = 7.128 Å, c = 7.128 Å
α = 58.55°, β = 58.55°, γ = 58.55°
Sites, in units of the cell vectors:
Th  0.098  0.098  0.098
Th  0.902  0.902  0.902
Mg  0.500  0.500  0.500
Ni  0.018  0.650  0.650
Ni  0.227  0.227  0.624
Ni  0.227  0.624  0.227
Ni  0.350  0.350  0.982
Ni  0.350  0.982  0.350
Ni  0.376  0.773  0.773
Ni  0.624  0.227  0.227
Ni  0.650  0.018  0.650
Ni  0.650  0.650  0.018
Ni  0.773  0.376  0.773
Ni  0.773  0.773  0.376
Ni  0.982  0.350  0.350
B  0.000  0.500  0.500
B  0.500  0.000  0.500
B  0.500  0.500  0.000

## Properties
Space-group type: No. 166
ΔH_f (0 K), eV/atom: -0.13

(16)
The following is a DFT calculation (PBE) of crystalline Tb5PrEr2Sc at its relaxed geometry.

a = 10.283 Å, b = 10.283 Å, c = 10.382 Å
α = 90.00°, β = 90.00°, γ = 148.53°
Sites, in units of the cell vectors:
Tb  0.018  0.982  0.500
Tb  0.277  0.723  0.802
Tb  0.298  0.702  0.187
Tb  0.377  0.623  0.501
Tb  0.481  0.519  0.220
Tb  0.519  0.481  0.720
Tb  0.623  0.377  0.001
Tb  0.702  0.298  0.687
Tb  0.723  0.277  0.302
Tb  0.982  0.018  0.000
Pr  0.413  0.587  0.934
Pr  0.587  0.413  0.434
Er  0.112  0.888  0.795
Er  0.114  0.886  0.216
Er  0.886  0.114  0.716
Er  0.888  0.112  0.295
Sc  0.196  0.804  0.495
Sc  0.804  0.196  0.995

## Properties
Space-group type: No. 36
ΔH_f (0 K), eV/atom: 0.17

(17)
The following is a DFT calculation (PBE) of crystalline NbTc2HPd at its relaxed geometry.

a = 4.012 Å, b = 4.012 Å, c = 3.963 Å
α = 90.00°, β = 90.00°, γ = 90.00°
Sites, in units of the cell vectors:
Nb  0.000  0.000  0.000
Tc  0.000  0.500  0.500
Tc  0.500  0.000  0.500
H  0.500  0.500  0.500
Pd  0.500  0.500  0.000

## Properties
Space-group type: No. 123
E above lowest polymorph, kJ/mol of formula units: 6

(18)
The following is a DFT calculation (PBE) of crystalline K2Ca2Br at its relaxed geometry.

a = 11.218 Å, b = 11.218 Å, c = 11.218 Å
α = 155.19°, β = 155.19°, γ = 35.37°
Sites, in units of the cell vectors:
K  0.250  0.750  0.500
K  0.750  0.250  0.500
Ca  0.084  0.084  0.000
Ca  0.916  0.916  0.000
Br  0.500  0.500  0.000

## Properties
Space-group type: No. 139
Raw formation energy, eV/f.u.: -0.1
E above lowest polymorph, kJ/mol of formula units: 168

(19)
The following is a DFT calculation (PBE) of crystalline Pm2PbCl at its relaxed geometry.

a = 5.623 Å, b = 5.623 Å, c = 3.495 Å
α = 90.00°, β = 90.00°, γ = 90.00°
Sites, in units of the cell vectors:
Pm  0.000  0.500  0.000
Pm  0.500  0.000  0.000
Pb  0.000  0.000  0.500
Cl  0.500  0.500  0.500

## Properties
Space-group type: No. 123
Raw formation energy, eV/f.u.: -3.3
E above lowest polymorph, kJ/mol of formula units: 13

(20)
The following is a DFT calculation (PBE) of crystalline VFeN at its relaxed geometry.

a = 3.851 Å, b = 3.851 Å, c = 3.851 Å
α = 133.45°, β = 133.45°, γ = 67.95°
Sites, in units of the cell vectors:
V  0.000  0.000  0.000
Fe  0.649  0.649  0.000
N  0.330  0.330  0.000

## Properties
Space-group type: No. 107
Raw formation energy, eV/f.u.: 1.3

Short version: E_tot = -2.964, -5.281, -4.083, -6.084, -3.545, -2.524, -4.258, -3.786, -1.670, -4.133, -6.388, -0.818, -4.821, -7.577, -6.009, -4.647, -7.966, -1.590, -4.598, -8.208 eV/atom, in the order given.
Short version: ρ = 3.7, 8.1, 6.4, 10.3, 5.6, 5.4, 4.1, 7.4, 5.8, 2.5, 4.3, 10.4, 4.3, 6.8, 8.2, 7.6, 10.3, 1.6, 8.0, 6.8 g/cm3, in the order given.
Short version: magnetic moment = 0.0, 0.0, 0.0, 0.0, 0.0, 0.0, 3.5, 0.0, 0.0, 2.0, 0.0, 0.0, 3.1, 0.0, 0.0, 0.0, 0.0, 0.7, 0.0, 0.6 μB per cell, in the order given.